Entry from Alexandria: AcSmCl after structural relaxation (PBE).

Cell: 3.8839 3.8839 7.7108 Å, 90.00 90.00 120.00°
Element x y z (fractional)
1 Ac 0.0000 0.0000 0.0000
2 Sm 0.6667 0.3333 0.3884
3 Cl 0.3333 0.6667 0.6528

Density of states at the Fermi level: 3.40 states/eV per cell

***

Entry from Alexandria: Ac2SnCl after structural relaxation (PBE).

Cell: 3.9131 3.9131 8.3384 Å, 90.00 90.00 90.00°
Element x y z (fractional)
1 Ac 0.0000 0.0000 0.2433
2 Ac 0.0000 0.0000 0.7567
3 Sn 0.5000 0.5000 0.0000
4 Cl 0.5000 0.5000 0.5000

Density of states at the Fermi level: 3.64 states/eV per cell

***

Entry from Alexandria: AcSnCl6 after structural relaxation (PBE).

Cell: 7.5115 7.5115 7.5115 Å, 54.46 54.46 54.46°
Element x y z (fractional)
1 Ac 0.0000 0.0000 0.0000
2 Sn 0.5000 0.5000 0.5000
3 Cl 0.1028 0.4249 0.7338
4 Cl 0.2662 0.8972 0.5751
5 Cl 0.4249 0.7338 0.1028
6 Cl 0.5751 0.2662 0.8972
7 Cl 0.7338 0.1028 0.4249
8 Cl 0.8972 0.5751 0.2662

Density of states at the Fermi level: 5.66 states/eV per cell

***

Entry from Alexandria: AcSnCl2 after structural relaxation (PBE).

Cell: 5.3105 5.3105 14.8685 Å, 90.00 90.00 120.00°
Element x y z (fractional)
1 Ac 0.0000 0.0000 0.0000
2 Ac 0.3333 0.6667 0.6667
3 Ac 0.6667 0.3333 0.3333
4 Sn 0.0000 0.0000 0.5000
5 Sn 0.3333 0.6667 0.1667
6 Sn 0.6667 0.3333 0.8333
7 Cl 0.0000 0.0000 0.3087
8 Cl 0.0000 0.0000 0.6913
9 Cl 0.3333 0.6667 0.3579
10 Cl 0.3333 0.6667 0.9754
11 Cl 0.6667 0.3333 0.0246
12 Cl 0.6667 0.3333 0.6421

Density of states at the Fermi level: 6.90 states/eV per cell

***

Entry from Alexandria: AcSn2Cl8 after structural relaxation (PBE).

Cell: 7.5551 7.5551 8.3538 Å, 109.12 109.12 63.78°
Element x y z (fractional)
1 Ac 0.0000 0.0000 0.0000
2 Sn 0.1366 0.1366 0.6249
3 Sn 0.8634 0.8634 0.3751
4 Cl 0.1340 0.6779 0.1872
5 Cl 0.1897 0.1897 0.3274
6 Cl 0.3221 0.8660 0.8128
7 Cl 0.3368 0.3368 0.7896
8 Cl 0.6632 0.6632 0.2104
9 Cl 0.6779 0.1340 0.1872
10 Cl 0.8103 0.8103 0.6726
11 Cl 0.8660 0.3221 0.8128

Density of states at the Fermi level: 6.25 states/eV per cell

***

Entry from Alexandria: Ac12Sn5Cl3 after structural relaxation (PBE).

Cell: 16.7697 16.7697 16.7697 Å, 109.47 109.47 109.47°
Element x y z (fractional)
1 Ac 0.0550 0.2267 0.1165
2 Ac 0.0550 0.3283 0.9385
3 Ac 0.0615 0.6165 0.3898
4 Ac 0.0615 0.9450 0.6717
5 Ac 0.1102 0.7267 0.6717
6 Ac 0.1102 0.8835 0.4385
7 Ac 0.1165 0.0550 0.2267
8 Ac 0.1165 0.5615 0.8898
9 Ac 0.1717 0.2267 0.6102
10 Ac 0.1717 0.4450 0.5615
11 Ac 0.2267 0.1165 0.0550
12 Ac 0.2267 0.6102 0.1717
13 Ac 0.2733 0.3283 0.8898
14 Ac 0.2733 0.4450 0.3835
15 Ac 0.3283 0.8898 0.2733
16 Ac 0.3283 0.9385 0.0550
17 Ac 0.3835 0.2733 0.4450
18 Ac 0.3835 0.6102 0.9385
19 Ac 0.3898 0.0615 0.6165
20 Ac 0.3898 0.8283 0.7733
21 Ac 0.4385 0.1102 0.8835
22 Ac 0.4385 0.8283 0.5550
23 Ac 0.4450 0.3835 0.2733
24 Ac 0.4450 0.5615 0.1717
25 Ac 0.5550 0.4385 0.8283
26 Ac 0.5550 0.6165 0.7267
27 Ac 0.5615 0.1717 0.4450
28 Ac 0.5615 0.8898 0.1165
29 Ac 0.6102 0.1717 0.2267
30 Ac 0.6102 0.9385 0.3835
31 Ac 0.6165 0.3898 0.0615
32 Ac 0.6165 0.7267 0.5550
33 Ac 0.6717 0.0615 0.9450
34 Ac 0.6717 0.1102 0.7267
35 Ac 0.7267 0.5550 0.6165
36 Ac 0.7267 0.6717 0.1102
37 Ac 0.7733 0.3898 0.8283
38 Ac 0.7733 0.8835 0.9450
39 Ac 0.8283 0.5550 0.4385
40 Ac 0.8283 0.7733 0.3898
41 Ac 0.8835 0.4385 0.1102
42 Ac 0.8835 0.9450 0.7733
43 Ac 0.8898 0.1165 0.5615
44 Ac 0.8898 0.2733 0.3283
45 Ac 0.9385 0.0550 0.3283
46 Ac 0.9385 0.3835 0.6102
47 Ac 0.9450 0.6717 0.0615
48 Ac 0.9450 0.7733 0.8835
49 Sn 0.0000 0.0000 0.0000
50 Sn 0.0000 0.0000 0.5000
51 Sn 0.0000 0.5000 0.0000
52 Sn 0.0000 0.5000 0.5000
53 Sn 0.1250 0.7500 0.8750
54 Sn 0.1250 0.8750 0.2500
55 Sn 0.2500 0.1250 0.8750
56 Sn 0.2500 0.6250 0.3750
57 Sn 0.3750 0.2500 0.6250
58 Sn 0.3750 0.6250 0.7500
59 Sn 0.5000 0.0000 0.0000
60 Sn 0.5000 0.0000 0.5000
61 Sn 0.5000 0.5000 0.0000
62 Sn 0.5000 0.5000 0.5000
63 Sn 0.6250 0.3750 0.2500
64 Sn 0.6250 0.7500 0.3750
65 Sn 0.7500 0.3750 0.6250
66 Sn 0.7500 0.8750 0.1250
67 Sn 0.8750 0.1250 0.7500
68 Sn 0.8750 0.2500 0.1250
69 Cl 0.1250 0.2500 0.3750
70 Cl 0.1250 0.3750 0.7500
71 Cl 0.2500 0.3750 0.1250
72 Cl 0.2500 0.8750 0.6250
73 Cl 0.3750 0.1250 0.2500
74 Cl 0.3750 0.7500 0.1250
75 Cl 0.6250 0.2500 0.8750
76 Cl 0.6250 0.8750 0.7500
77 Cl 0.7500 0.1250 0.3750
78 Cl 0.7500 0.6250 0.8750
79 Cl 0.8750 0.6250 0.2500
80 Cl 0.8750 0.7500 0.6250

Density of states at the Fermi level: 62.52 states/eV per cell

***

Entry from Alexandria: Ac2SnCl after structural relaxation (PBE).

Cell: 4.9304 4.9304 27.6833 Å, 90.00 90.00 120.00°
Element x y z (fractional)
1 Ac 0.0000 0.0000 0.1056
2 Ac 0.0000 0.0000 0.8944
3 Ac 0.3333 0.6667 0.5610
4 Ac 0.3333 0.6667 0.7723
5 Ac 0.6667 0.3333 0.2277
6 Ac 0.6667 0.3333 0.4390
7 Sn 0.0000 0.0000 0.5000
8 Sn 0.3333 0.6667 0.1667
9 Sn 0.6667 0.3333 0.8333
10 Cl 0.0000 0.0000 0.0000
11 Cl 0.3333 0.6667 0.6667
12 Cl 0.6667 0.3333 0.3333

Density of states at the Fermi level: 9.54 states/eV per cell

***

Entry from Alexandria: Ac2SnCl8 after structural relaxation (PBE).

Cell: 9.2060 9.2060 8.0002 Å, 99.43 99.43 28.30°
Element x y z (fractional)
1 Ac 0.1830 0.1830 0.2081
2 Ac 0.8171 0.8171 0.7919
3 Sn 0.5000 0.5000 0.5000
4 Cl 0.0217 0.0217 0.2930
5 Cl 0.2066 0.2066 0.8360
6 Cl 0.3286 0.3286 0.5163
7 Cl 0.3998 0.3998 0.9619
8 Cl 0.6002 0.6002 0.0381
9 Cl 0.6714 0.6714 0.4837
10 Cl 0.7934 0.7934 0.1640
11 Cl 0.9783 0.9783 0.7070

Density of states at the Fermi level: 0.00 states/eV per cell

***

Entry from Alexandria: Ac2SnCl after structural relaxation (PBE).

Cell: 3.9003 5.8631 12.0499 Å, 90.00 90.00 90.00°
Element x y z (fractional)
1 Ac 0.2500 0.2500 0.0959
2 Ac 0.2500 0.2500 0.6455
3 Ac 0.7500 0.7500 0.3545
4 Ac 0.7500 0.7500 0.9041
5 Sn 0.2500 0.2500 0.3679
6 Sn 0.7500 0.7500 0.6321
7 Cl 0.2500 0.7500 0.1201
8 Cl 0.7500 0.2500 0.8799

Density of states at the Fermi level: 4.29 states/eV per cell

***

Entry from Alexandria: Ac6Sn3Cl after structural relaxation (PBE).

Cell: 10.3867 10.3867 7.6630 Å, 90.00 90.00 101.18°
Element x y z (fractional)
1 Ac 0.0077 0.9923 0.5000
2 Ac 0.0953 0.5794 0.5882
3 Ac 0.2440 0.7560 0.1196
4 Ac 0.2958 0.3779 0.0824
5 Ac 0.3779 0.2958 0.5824
6 Ac 0.4206 0.9047 0.5882
7 Ac 0.5794 0.0953 0.0882
8 Ac 0.6221 0.7042 0.0824
9 Ac 0.7042 0.6221 0.5824
10 Ac 0.7560 0.2440 0.6196
11 Ac 0.9047 0.4206 0.0882
12 Ac 0.9923 0.0077 0.0000
13 Sn 0.0728 0.2796 0.7608
14 Sn 0.2796 0.0728 0.2608
15 Sn 0.3982 0.6018 0.4121
16 Sn 0.6018 0.3982 0.9121
17 Sn 0.7204 0.9272 0.7608
18 Sn 0.9272 0.7204 0.2608
19 Cl 0.1482 0.8518 0.7654
20 Cl 0.8518 0.1482 0.2654

Density of states at the Fermi level: 21.96 states/eV per cell

***

Entry from Alexandria: Ac2SnCl2 after structural relaxation (PBE).

Cell: 4.8892 4.8892 8.2736 Å, 90.00 90.00 120.00°
Element x y z (fractional)
1 Ac 0.3333 0.6667 0.2215
2 Ac 0.6667 0.3333 0.7785
3 Sn 0.0000 0.0000 0.0000
4 Cl 0.3333 0.6667 0.6161
5 Cl 0.6667 0.3333 0.3839

***

Entry from Alexandria: Ac2SnCl after structural relaxation (PBE).

Cell: 4.6656 4.6656 23.6785 Å, 90.00 90.00 120.00°
Element x y z (fractional)
1 Ac 0.0000 0.0000 0.0000
2 Ac 0.0000 0.0000 0.1798
3 Ac 0.3333 0.6667 0.6667
4 Ac 0.3333 0.6667 0.8465
5 Ac 0.6667 0.3333 0.3333
6 Ac 0.6667 0.3333 0.5131
7 Sn 0.0000 0.0000 0.5893
8 Sn 0.3333 0.6667 0.2560
9 Sn 0.6667 0.3333 0.9227
10 Cl 0.0000 0.0000 0.7614
11 Cl 0.3333 0.6667 0.4281
12 Cl 0.6667 0.3333 0.0948

Density of states at the Fermi level: 9.56 states/eV per cell

***

| no. | raw total energy (eV per atom) | formation energy from raw total energies (meV per atom) |
| --- | --- | --- |
| 1 | -4.430 | -871.9 |
| 2 | -4.478 | -961.8 |
| 3 | -3.981 | -1581.7 |
| 4 | -4.082 | -1130.5 |
| 5 | -3.806 | -1361.9 |
| 6 | -3.984 | -241.1 |
| 7 | -4.504 | -987.2 |
| 8 | -4.481 | -2027.3 |
| 9 | -4.471 | -954.9 |
| 10 | -4.502 | -651.5 |
| 11 | -4.803 | -1620.2 |
| 12 | -4.543 | -1026.6 |